(1)
Compound: NdSmDy2Hg4
Source: Alexandria via LeMat-Bulk
Functional: PBE
Structure: relaxed Values from VASP.

density of states at the Fermi level = 9.6 states/eV/f.u.
spin magnetization = 1.19 μB/f.u.
SG = R-3m, No. 166
total DFT energy (no corrections) = -2.957 eV per atom
energy of formation = -3.8 eV/f.u.

```
&SYSTEM
  ibrav = 0, nat = 8, ntyp = 4
/
ATOMIC_SPECIES
Nd 144.24 Nd.upf
Sm 150.36 Sm.upf
Dy 162.50 Dy.upf
Hg 200.59 Hg.upf
ATOMIC_POSITIONS angstrom
Nd 0.0000 0.0000 0.0000
Sm 5.3358 3.0807 4.3538
Dy 8.0038 4.6210 6.5267
Dy 2.6679 1.5403 2.1808
Hg 5.3358 3.0807 7.5953
Hg 8.0038 4.6210 3.2889
Hg 2.6679 1.5403 5.4187
Hg 5.3359 3.0807 1.1123
CELL_PARAMETERS angstrom
5.3358 0.0000 0.0000
2.6679 4.6210 0.0000
2.6679 1.5403 8.7076
```

---

(2)
Compound: NdSmDyHg
Source: Alexandria via LeMat-Bulk
Functional: PBE
Structure: relaxed Values from VASP.

density of states at the Fermi level = 5.5 states/eV/f.u.
spin magnetization = 0.00 μB/f.u.
SG = F-43m, No. 216
total DFT energy (no corrections) = -3.667 eV per atom
energy of formation = -0.3 eV/f.u.

```
&SYSTEM
  ibrav = 0, nat = 4, ntyp = 4
/
ATOMIC_SPECIES
Nd 144.24 Nd.upf
Hg 200.59 Hg.upf
Sm 150.36 Sm.upf
Dy 162.50 Dy.upf
ATOMIC_POSITIONS angstrom
Nd -0.7816 -3.9584 5.3967
Hg -0.3908 -1.9792 2.6984
Sm 0.0000 0.0000 0.0000
Dy -1.1724 -5.9376 8.0951
CELL_PARAMETERS angstrom
-3.2690 -1.1907 4.2621
-0.4895 -5.2023 1.7222
2.1954 -1.5238 4.8092
```

---

(3)
Compound: NdSmDyHg
Source: Alexandria via LeMat-Bulk
Functional: PBE
Structure: relaxed Values from VASP.

density of states at the Fermi level = 4.7 states/eV/f.u.
spin magnetization = 0.00 μB/f.u.
SG = P4mm, No. 99
total DFT energy (no corrections) = -3.829 eV per atom
energy of formation = -0.9 eV/f.u.

```
&SYSTEM
  ibrav = 0, nat = 4, ntyp = 4
/
ATOMIC_SPECIES
Nd 144.24 Nd.upf
Sm 150.36 Sm.upf
Dy 162.50 Dy.upf
Hg 200.59 Hg.upf
ATOMIC_POSITIONS angstrom
Nd 0.0000 0.0000 0.6774
Sm 1.8428 1.8428 7.0498
Dy 1.8428 1.8428 3.1684
Hg 0.0000 0.0000 5.0168
CELL_PARAMETERS angstrom
3.6855 0.0000 0.0000
0.0000 3.6855 0.0000
0.0000 0.0000 8.9160
```

---

(4)
Compound: NdDySnHg
Source: Alexandria via LeMat-Bulk
Functional: PBE
Structure: relaxed Values from VASP.

density of states at the Fermi level = 3.8 states/eV/f.u.
spin magnetization = 0.00 μB/f.u.
SG = F-43m, No. 216
total DFT energy (no corrections) = -3.997 eV per atom
energy of formation = -2.3 eV/f.u.

```
&SYSTEM
  ibrav = 0, nat = 4, ntyp = 4
/
ATOMIC_SPECIES
Nd 144.24 Nd.upf
Hg 200.59 Hg.upf
Sn 118.71 Sn.upf
Dy 162.50 Dy.upf
ATOMIC_POSITIONS angstrom
Nd 1.3034 -2.1079 -2.1598
Hg 2.6068 -4.2157 -4.3197
Sn 0.0000 0.0000 0.0000
Dy 3.9103 -6.3236 -6.4795
CELL_PARAMETERS angstrom
-1.0384 -3.1624 -4.2118
3.6655 -0.5974 -3.8763
2.5866 -4.6716 -0.5513
```

---

(5)
Compound: Nd2DySn2Hg2
Source: Alexandria via LeMat-Bulk
Functional: PBE
Structure: relaxed Values from VASP.

density of states at the Fermi level = 5.5 states/eV/f.u.
spin magnetization = 0.00 μB/f.u.
SG = R-3m, No. 166
total DFT energy (no corrections) = -3.576 eV per atom
energy of formation = -2.3 eV/f.u.

```
&SYSTEM
  ibrav = 0, nat = 7, ntyp = 4
/
ATOMIC_SPECIES
Nd 144.24 Nd.upf
Dy 162.50 Dy.upf
Sn 118.71 Sn.upf
Hg 200.59 Hg.upf
ATOMIC_POSITIONS angstrom
Nd -3.3442 -1.4108 5.1528
Nd -3.2649 -7.5117 4.5529
Dy 0.0000 0.0000 0.0000
Sn -5.3021 -6.5245 7.8357
Sn -1.3070 -2.3979 1.8701
Hg -2.2594 -4.9677 3.1686
Hg -4.3498 -3.9547 6.5371
CELL_PARAMETERS angstrom
-2.8345 -4.0916 -0.5286
1.3865 -4.3005 2.1537
-5.1611 -0.5303 8.0807
```

---

(6)
Compound: NdDySnHg
Source: Alexandria via LeMat-Bulk
Functional: PBE
Structure: relaxed Values from VASP.

density of states at the Fermi level = 3.1 states/eV/f.u.
spin magnetization = 0.00 μB/f.u.
SG = P4mm, No. 99
total DFT energy (no corrections) = -3.989 eV per atom
energy of formation = -2.3 eV/f.u.

```
&SYSTEM
  ibrav = 0, nat = 4, ntyp = 4
/
ATOMIC_SPECIES
Nd 144.24 Nd.upf
Dy 162.50 Dy.upf
Sn 118.71 Sn.upf
Hg 200.59 Hg.upf
ATOMIC_POSITIONS angstrom
Nd 1.9154 1.9154 0.8158
Dy 1.9154 1.9154 4.4964
Sn 0.0000 0.0000 6.3174
Hg 0.0000 0.0000 2.7859
CELL_PARAMETERS angstrom
3.8308 0.0000 0.0000
0.0000 3.8308 0.0000
0.0000 0.0000 7.4771
```

---

(7)
Compound: Tb2NdDyHg4
Source: Alexandria via LeMat-Bulk
Functional: PBE
Structure: relaxed Values from VASP.

density of states at the Fermi level = 9.3 states/eV/f.u.
spin magnetization = 1.11 μB/f.u.
SG = R-3m, No. 166
total DFT energy (no corrections) = -2.953 eV per atom
energy of formation = -3.8 eV/f.u.

```
&SYSTEM
  ibrav = 0, nat = 8, ntyp = 4
/
ATOMIC_SPECIES
Tb 158.93 Tb.upf
Nd 144.24 Nd.upf
Dy 162.50 Dy.upf
Hg 200.59 Hg.upf
ATOMIC_POSITIONS angstrom
Tb 7.9631 4.5975 6.5243
Tb 2.6544 1.5325 2.1880
Nd 0.0000 0.0000 0.0000
Dy 5.3088 3.0650 4.3562
Hg 5.3088 3.0650 7.5571
Hg 7.9631 4.5975 3.3184
Hg 2.6544 1.5325 5.3940
Hg 5.3088 3.0650 1.1552
CELL_PARAMETERS angstrom
5.3088 0.0000 0.0000
2.6544 4.5975 0.0000
2.6544 1.5325 8.7124
```

---

(8)
Compound: TbNdDy2Hg4
Source: Alexandria via LeMat-Bulk
Functional: PBE
Structure: relaxed Values from VASP.

density of states at the Fermi level = 9.1 states/eV/f.u.
spin magnetization = 1.02 μB/f.u.
SG = R-3m, No. 166
total DFT energy (no corrections) = -2.949 eV per atom
energy of formation = -3.8 eV/f.u.

```
&SYSTEM
  ibrav = 0, nat = 8, ntyp = 4
/
ATOMIC_SPECIES
Tb 158.93 Tb.upf
Nd 144.24 Nd.upf
Dy 162.50 Dy.upf
Hg 200.59 Hg.upf
ATOMIC_POSITIONS angstrom
Tb 4.2003 -6.0971 -1.2841
Nd 0.0000 0.0000 0.0000
Dy 6.2933 -9.1432 -1.9308
Dy 2.1074 -3.0509 -0.6374
Hg 6.8047 -6.9417 0.3832
Hg 3.6869 -8.2979 -3.5994
Hg 4.7138 -3.8962 1.0312
Hg 1.5959 -5.2524 -2.9515
CELL_PARAMETERS angstrom
-1.0207 -5.1107 -0.9948
2.0187 -2.3152 -4.3261
7.4026 -4.7682 2.7526
```

---

(9)
Compound: NdDyHgTe
Source: Alexandria via LeMat-Bulk
Functional: PBE
Structure: relaxed Values from VASP.

density of states at the Fermi level = 2.2 states/eV/f.u.
spin magnetization = 0.00 μB/f.u.
SG = R3m, No. 160
total DFT energy (no corrections) = -4.088 eV per atom
ΔE_f (raw) = -884.8 meV per atom

```
&SYSTEM
  ibrav = 0, nat = 4, ntyp = 4
/
ATOMIC_SPECIES
Nd 144.24 Nd.upf
Dy 162.50 Dy.upf
Hg 200.59 Hg.upf
Te 127.60 Te.upf
ATOMIC_POSITIONS angstrom
Nd -3.2440 -0.2041 5.3497
Dy -1.3413 -4.0655 6.9507
Hg -1.6256 -0.0510 2.6197
Te -4.8626 -0.3547 8.0769
CELL_PARAMETERS angstrom
-1.0655 2.9742 2.8269
-4.0820 0.6934 0.9107
-1.3410 -4.0707 6.9562
```

---

(10)
Compound: NdDyTlHg
Source: Alexandria via LeMat-Bulk
Functional: PBE
Structure: relaxed Values from VASP.

density of states at the Fermi level = 4.2 states/eV/f.u.
spin magnetization = 0.72 μB/f.u.
SG = F-43m, No. 216
total DFT energy (no corrections) = -3.426 eV per atom
energy of formation = -1.7 eV/f.u.

```
&SYSTEM
  ibrav = 0, nat = 4, ntyp = 4
/
ATOMIC_SPECIES
Tl 204.38 Tl.upf
Nd 144.24 Nd.upf
Hg 200.59 Hg.upf
Dy 162.50 Dy.upf
ATOMIC_POSITIONS angstrom
Tl 0.0000 0.0000 0.0000
Nd -0.1519 -1.9040 2.7029
Hg -0.3038 -3.8080 5.4057
Dy -0.4557 -5.7119 8.1086
CELL_PARAMETERS angstrom
-0.8250 -0.0226 5.3412
-2.5364 -4.1678 2.3250
2.7538 -3.4255 3.1453
```

---

(11)
Compound: NdDyTlHg
Source: Alexandria via LeMat-Bulk
Functional: PBE
Structure: relaxed Values from VASP.

density of states at the Fermi level = 4.4 states/eV/f.u.
spin magnetization = 0.60 μB/f.u.
SG = P4mm, No. 99
total DFT energy (no corrections) = -3.434 eV per atom
energy of formation = -1.7 eV/f.u.

```
&SYSTEM
  ibrav = 0, nat = 4, ntyp = 4
/
ATOMIC_SPECIES
Nd 144.24 Nd.upf
Dy 162.50 Dy.upf
Tl 204.38 Tl.upf
Hg 200.59 Hg.upf
ATOMIC_POSITIONS angstrom
Nd 1.9019 1.9019 0.8750
Dy 1.9019 1.9019 4.5856
Tl 0.0000 0.0000 6.5036
Hg 0.0000 0.0000 2.8860
CELL_PARAMETERS angstrom
3.8038 0.0000 0.0000
0.0000 3.8038 0.0000
0.0000 0.0000 7.7026
```

---

(12)
Compound: NdDyTm2Hg4
Source: Alexandria via LeMat-Bulk
Functional: PBE
Structure: relaxed Values from VASP.

density of states at the Fermi level = 7.8 states/eV/f.u.
spin magnetization = 0.48 μB/f.u.
SG = R-3m, No. 166
total DFT energy (no corrections) = -2.907 eV per atom
energy of formation = -3.7 eV/f.u.

```
&SYSTEM
  ibrav = 0, nat = 8, ntyp = 4
/
ATOMIC_SPECIES
Nd 144.24 Nd.upf
Dy 162.50 Dy.upf
Tm 168.93 Tm.upf
Hg 200.59 Hg.upf
ATOMIC_POSITIONS angstrom
Nd 0.0000 0.0000 0.0000
Dy 5.2688 3.0419 4.3242
Tm 7.9032 4.5629 6.4670
Tm 2.6344 1.5210 2.1813
Hg 5.2688 3.0419 7.5032
Hg 7.9032 4.5629 3.2931
Hg 2.6344 1.5210 5.3552
Hg 5.2688 3.0419 1.1452
CELL_PARAMETERS angstrom
5.2688 0.0000 0.0000
2.6344 4.5629 0.0000
2.6344 1.5210 8.6484
```

---

(13)
Compound: NdDyYHg
Source: Alexandria via LeMat-Bulk
Functional: PBE
Structure: relaxed Values from VASP.

density of states at the Fermi level = 5.4 states/eV/f.u.
spin magnetization = 0.01 μB/f.u.
SG = F-43m, No. 216
total DFT energy (no corrections) = -4.096 eV per atom
energy of formation = -0.2 eV/f.u.

```
&SYSTEM
  ibrav = 0, nat = 4, ntyp = 4
/
ATOMIC_SPECIES
Y 88.91 Y.upf
Nd 144.24 Nd.upf
Hg 200.59 Hg.upf
Dy 162.50 Dy.upf
ATOMIC_POSITIONS angstrom
Y -6.0708 -6.4628 -4.7354
Nd -2.0236 -2.1543 -1.5785
Hg 0.0000 0.0000 0.0000
Dy -4.0472 -4.3085 -3.1569
CELL_PARAMETERS angstrom
-4.5989 -0.4860 -2.9246
-0.3177 -3.7190 -4.0010
-3.1779 -4.4121 0.6118
```